Record 1
# Li3HAu

A geometry-optimized Li3HAu structure (PBE, Alexandria).

Cell and atoms, written as POSCAR:
```
Li3HAu
1.0
2.873 0.000 0.000
0.000 3.439 3.453
0.000 -3.439 3.453
Li H Au
3 1 1
Direct
0.000 0.000 0.000 Li
0.500 0.502 0.907 Li
0.500 0.907 0.502 Li
0.500 0.861 0.861 H
0.000 0.392 0.392 Au
```

Results
theoretical density: 5.32 Mg/m³
energy above the lowest structure with this stoichiometry: 74 meV/atom
symmetry: Amm2, No. 38
D(E_F): 1.12 states/eV/f.u.



Record 2
# LiMg2HAu

A geometry-optimized LiMg2HAu structure (PBE, Alexandria).

Cell and atoms, written as POSCAR:
```
LiMg2HAu
1.0
4.434 0.000 0.000
0.000 4.434 0.000
0.000 0.000 3.649
Li Mg H Au
1 2 1 1
Direct
0.000 0.000 0.000 Li
0.000 0.500 0.500 Mg
0.500 0.000 0.500 Mg
0.000 0.000 0.500 H
0.500 0.500 0.000 Au
```

Results
theoretical density: 5.87 Mg/m³
symmetry: P4/mmm, No. 123
D(E_F): 0.91 states/eV/f.u.
final energy: -13.7 eV for the cell shown



Record 3
# LiMgHAu2

A geometry-optimized LiMgHAu2 structure (PBE, Alexandria).

Cell and atoms, written as POSCAR:
```
LiMgHAu2
1.0
4.363 0.000 0.000
0.000 4.363 0.000
0.000 0.000 3.696
Li Mg H Au
1 1 1 2
Direct
0.000 0.000 0.000 Li
0.500 0.500 0.000 Mg
0.000 0.000 0.500 H
0.000 0.500 0.500 Au
0.500 0.000 0.500 Au
```

Results
theoretical density: 10.06 Mg/m³
symmetry: P4/mmm, No. 123
D(E_F): 1.36 states/eV/f.u.
final energy: -14.7 eV for the cell shown



Record 4
# Li6HAu2N

A geometry-optimized Li6HAu2N structure (PBE, Alexandria).

Cell and atoms, written as POSCAR:
```
Li6HAu2N
1.0
-2.851 2.851 4.042
2.851 -2.851 4.042
2.851 2.851 -4.042
Li H Au N
6 1 2 1
Direct
0.241 0.241 0.000 Li
0.242 0.242 0.484 Li
0.242 0.758 0.000 Li
0.758 0.242 0.000 Li
0.758 0.758 0.516 Li
0.759 0.759 0.000 Li
0.500 0.500 0.000 H
0.250 0.750 0.500 Au
0.750 0.250 0.500 Au
0.000 0.000 0.000 N
```

Results
theoretical density: 5.69 Mg/m³
symmetry: I4/mmm, No. 139
D(E_F): 0.19 states/eV/f.u.
final energy: -33.5 eV for the cell shown



Record 5
# Na2LiHAu

A geometry-optimized Na2LiHAu structure (PBE, Alexandria).

Cell and atoms, written as POSCAR:
```
Na2LiHAu
1.0
4.677 0.000 0.000
0.000 4.677 0.000
0.000 0.000 4.053
Na Li H Au
2 1 1 1
Direct
0.000 0.500 0.000 Na
0.500 0.000 0.000 Na
0.000 0.000 0.500 Li
0.000 0.000 0.000 H
0.500 0.500 0.500 Au
```

Results
theoretical density: 4.70 Mg/m³
symmetry: P4/mmm, No. 123
D(E_F): 2.08 states/eV/f.u.
final energy: -12.2 eV for the cell shown



Record 6
# Na2LiH6Au2

A geometry-optimized Na2LiH6Au2 structure (PBE, Alexandria).

Cell and atoms, written as POSCAR:
```
Na2LiH6Au2
1.0
5.558 -2.317 0.000
5.558 2.317 0.000
-3.187 0.000 5.340
Na Li H Au
2 1 6 2
Direct
0.196 0.196 0.203 Na
0.804 0.804 0.797 Na
0.000 0.000 0.500 Li
0.121 0.644 0.196 H
0.326 0.326 0.672 H
0.356 0.879 0.804 H
0.644 0.121 0.196 H
0.674 0.674 0.328 H
0.879 0.356 0.804 H
0.495 0.495 0.751 Au
0.505 0.505 0.249 Au
```

Results
theoretical density: 5.47 Mg/m³
symmetry: C2/m, No. 12
D(E_F): 1.57 states/eV/f.u.
final energy: -32.1 eV for the cell shown



Record 7
# LiNiHAu2

A geometry-optimized LiNiHAu2 structure (PBE, Alexandria).

Cell and atoms, written as POSCAR:
```
LiNiHAu2
1.0
4.372 0.000 0.000
0.000 4.372 0.000
0.000 0.000 3.268
Li Ni H Au
1 1 1 2
Direct
0.000 0.000 0.000 Li
0.500 0.500 0.000 Ni
0.500 0.500 0.500 H
0.000 0.500 0.500 Au
0.500 0.000 0.500 Au
```

Results
theoretical density: 12.24 Mg/m³
symmetry: P4/mmm, No. 123
D(E_F): 0.90 states/eV/f.u.
final energy: -18.3 eV for the cell shown



Record 8
# Li2NiH6Au

A geometry-optimized Li2NiH6Au structure (PBE, Alexandria).

Cell and atoms, written as POSCAR:
```
Li2NiH6Au
1.0
3.461 -3.474 0.000
3.461 3.474 0.000
-3.460 0.000 3.478
Li Ni H Au
2 1 6 1
Direct
0.249 0.751 0.000 Li
0.751 0.249 0.000 Li
0.000 0.000 0.500 Ni
0.227 0.227 0.959 H
0.229 0.771 0.500 H
0.230 0.230 0.498 H
0.770 0.770 0.502 H
0.771 0.229 0.500 H
0.773 0.773 0.041 H
0.500 0.500 0.500 Au
```

Results
theoretical density: 5.47 Mg/m³
symmetry: C2/m, No. 12
D(E_F): 0.49 states/eV/f.u.
final energy: -34.6 eV for the cell shown



Repeat the sixth record exactly.
# Na2LiH6Au2

A geometry-optimized Na2LiH6Au2 structure (PBE, Alexandria).

Cell and atoms, written as POSCAR:
```
Na2LiH6Au2
1.0
5.558 -2.317 0.000
5.558 2.317 0.000
-3.187 0.000 5.340
Na Li H Au
2 1 6 2
Direct
0.196 0.196 0.203 Na
0.804 0.804 0.797 Na
0.000 0.000 0.500 Li
0.121 0.644 0.196 H
0.326 0.326 0.672 H
0.356 0.879 0.804 H
0.644 0.121 0.196 H
0.674 0.674 0.328 H
0.879 0.356 0.804 H
0.495 0.495 0.751 Au
0.505 0.505 0.249 Au
```

Results
theoretical density: 5.47 Mg/m³
symmetry: C2/m, No. 12
D(E_F): 1.57 states/eV/f.u.
final energy: -32.1 eV for the cell shown



> Which formula does entry 5 have?

Na2LiHAu



> Which of these has the lowest D(E_F)?

Li6HAu2N